<a>
VASP calculation (PBE) on crystalline PtPbCl6 at its relaxed geometry.

The structure in CIF format:
```
data_PtPbCl6
_cell_length_a 10.809
_cell_length_b 7.974
_cell_length_c 10.309
_cell_angle_alpha 90.00
_cell_angle_beta 90.29
_cell_angle_gamma 90.00
_space_group_name_H-M_alt 'C 1 2/c 1'
_space_group_IT_number 15
loop_
_space_group_symop_operation_xyz
'x,y,z'
'-x,-y,-z'
'-x,y,-z+1/2'
'x,-y,z+1/2'
'x+1/2,y+1/2,z'
'-x+1/2,-y+1/2,-z'
'-x+1/2,y+1/2,-z+1/2'
'x+1/2,-y+1/2,z+1/2'
loop_
_atom_site_label
_atom_site_type_symbol
_atom_site_fract_x
_atom_site_fract_y
_atom_site_fract_z
Pt1 Pt 0.250 0.250 0.000
Pb1 Pb 0.000 0.014 0.250
Cl1 Cl 0.070 0.327 0.112
Cl2 Cl 0.149 0.296 0.801
Cl3 Cl 0.175 0.027 0.499
```


<b>
VASP calculation (PBE) on crystalline PtPbCl6 at its relaxed geometry.

The structure in CIF format:
```
data_PtPbCl6
_cell_length_a 6.4513
_cell_length_b 6.4513
_cell_length_c 17.9238
_cell_angle_alpha 90.00
_cell_angle_beta 90.00
_cell_angle_gamma 120.00
_space_group_name_H-M_alt 'R -3'
_space_group_IT_number 148
_space_group_name_Hall '-R 3'
loop_
_atom_site_label
_atom_site_type_symbol
_atom_site_fract_x
_atom_site_fract_y
_atom_site_fract_z
Pt1 Pt 0.0000 0.0000 0.0000
Pb1 Pb 0.0000 0.0000 0.5000
Cl1 Cl 0.0170 0.6262 0.5913
```


Tell me which of them is the most stable. Sure, it is <a>.


<a>
VASP calculation (PBE) on crystalline PtPbSCl2 at its relaxed geometry.

The structure in CIF format:
```
data_PtPbSCl2
_cell_length_a 4.958
_cell_length_b 4.958
_cell_length_c 4.863
_cell_angle_alpha 90.00
_cell_angle_beta 90.00
_cell_angle_gamma 90.00
_space_group_name_H-M_alt 'P 4/m m m'
_space_group_IT_number 123
_space_group_name_Hall '-P 4 2'
loop_
_atom_site_label
_atom_site_type_symbol
_atom_site_fract_x
_atom_site_fract_y
_atom_site_fract_z
Pt1 Pt 0.000 0.000 0.000
Pb1 Pb 0.500 0.500 0.500
S1 S 0.000 0.000 0.500
Cl1 Cl 0.000 0.500 0.000
```


<b>
VASP calculation (PBE) on crystalline PtPbSCl2 at its relaxed geometry.

The structure in CIF format:
```
data_PtPbSCl2
_cell_length_a 5.245
_cell_length_b 5.245
_cell_length_c 5.390
_cell_angle_alpha 90.00
_cell_angle_beta 90.00
_cell_angle_gamma 90.00
_space_group_name_H-M_alt 'P 4/m m m'
_space_group_IT_number 123
_space_group_name_Hall '-P 4 2'
loop_
_atom_site_label
_atom_site_type_symbol
_atom_site_fract_x
_atom_site_fract_y
_atom_site_fract_z
Pt1 Pt 0.000 0.000 0.000
Pb1 Pb 0.500 0.500 0.500
S1 S 0.500 0.500 0.000
Cl1 Cl 0.000 0.500 0.500
```


Tell me which of them is the most stable. Sure, it is <a>.


<a>
VASP calculation (PBE) on crystalline PuPb2Cl6 at its relaxed geometry.

The structure in CIF format:
```
data_PuPb2Cl6
_cell_length_a 14.270
_cell_length_b 4.340
_cell_length_c 9.854
_cell_angle_alpha 90.00
_cell_angle_beta 95.84
_cell_angle_gamma 90.00
_space_group_name_H-M_alt 'C 1 2/m 1'
_space_group_IT_number 12
loop_
_space_group_symop_operation_xyz
'x,y,z'
'-x,-y,-z'
'-x,y,-z'
'x,-y,z'
'x+1/2,y+1/2,z'
'-x+1/2,-y+1/2,-z'
'-x+1/2,y+1/2,-z'
'x+1/2,-y+1/2,z'
loop_
_atom_site_label
_atom_site_type_symbol
_atom_site_fract_x
_atom_site_fract_y
_atom_site_fract_z
Pu1 Pu 0.000 0.000 0.000
Pb1 Pb 0.193 0.500 0.314
Cl1 Cl 0.055 0.000 0.284
Cl2 Cl 0.128 0.500 0.994
Cl3 Cl 0.174 0.500 0.597
```


<b>
VASP calculation (PBE) on crystalline PuPb2Cl6 at its relaxed geometry.

The structure in CIF format:
```
data_PuPb2Cl6
_cell_length_a 6.846
_cell_length_b 6.846
_cell_length_c 13.045
_cell_angle_alpha 90.00
_cell_angle_beta 90.00
_cell_angle_gamma 90.00
_space_group_name_H-M_alt 'P 42/m n m'
_space_group_IT_number 136
_space_group_name_Hall '-P 4n 2n'
loop_
_atom_site_label
_atom_site_type_symbol
_atom_site_fract_x
_atom_site_fract_y
_atom_site_fract_z
Pu1 Pu 0.000 0.000 0.000
Pb1 Pb 0.000 0.000 0.334
Cl1 Cl 0.196 0.196 0.162
Cl2 Cl 0.208 0.208 0.500
```


Tell me which of them is the most stable. Sure, it is <b>.


<a>
VASP calculation (PBE) on crystalline RbPb3Cl at its relaxed geometry.

The structure in CIF format:
```
data_RbPb3Cl
_cell_length_a 5.800
_cell_length_b 5.800
_cell_length_c 5.800
_cell_angle_alpha 90.00
_cell_angle_beta 90.00
_cell_angle_gamma 90.00
_space_group_name_H-M_alt 'P m -3 m'
_space_group_IT_number 221
_space_group_name_Hall '-P 4 2 3'
loop_
_atom_site_label
_atom_site_type_symbol
_atom_site_fract_x
_atom_site_fract_y
_atom_site_fract_z
Rb1 Rb 0.000 0.000 0.000
Pb1 Pb 0.000 0.500 0.500
Cl1 Cl 0.500 0.500 0.500
```


<b>
VASP calculation (PBE) on crystalline RbPb3Cl at its relaxed geometry.

The structure in CIF format:
```
data_RbPb3Cl
_cell_length_a 6.406
_cell_length_b 6.406
_cell_length_c 6.406
_cell_angle_alpha 90.00
_cell_angle_beta 90.00
_cell_angle_gamma 90.00
_space_group_name_H-M_alt 'P m -3 m'
_space_group_IT_number 221
_space_group_name_Hall '-P 4 2 3'
loop_
_atom_site_label
_atom_site_type_symbol
_atom_site_fract_x
_atom_site_fract_y
_atom_site_fract_z
Rb1 Rb 0.000 0.000 0.000
Pb1 Pb 0.000 0.000 0.500
Cl1 Cl 0.500 0.500 0.500
```


Tell me which of them is the most stable. Sure, it is <a>.